Arrangement i

## Sc3BiB (PBE)

Data for crystalline Sc3BiB at its relaxed geometry.

Total magnetic moment = 1.5 μB/cell
Symmetry = P2_1/m, No. 11
Density = 5094 kg/m3

abc: 4.7568 7.0450 7.2828
angles: 90.00 108.66 90.00
Last column: nearest neighbours and their distance in Å.
Fractional positions:
Bi 0.7020 0.2500 0.9114  7 Sc 2.96-3.15
Sc 0.1141 0.0156 0.7323  2 B 2.36-2.42
Sc 0.8859 0.5156 0.2677  2 B 2.36-2.42
Bi 0.2980 0.7500 0.0886  7 Sc 2.96-3.15
Sc 0.4915 0.2500 0.4819  2 B 2.38
Sc 0.8859 0.9844 0.2677  2 B 2.36-2.42
Sc 0.1141 0.4844 0.7323  2 B 2.36-2.42
B 0.9891 0.2500 0.4767  6 Sc 2.36-2.42
B 0.0109 0.7500 0.5233  6 Sc 2.36-2.42
Sc 0.5085 0.7500 0.5181  2 B 2.38

***

Arrangement ii

## Sc3BiB (PBE)

Data for crystalline Sc3BiB at its relaxed geometry.

Total magnetic moment = 0.0 μB/cell
Symmetry = Cmce, No. 64
Density = 5679 kg/m3

abc: 22.3977 5.8564 8.7597
angles: 90.00 158.84 90.00
Last column: nearest neighbours and their distance in Å.
Fractional positions:
B 0.6111 0.2286 0.1111  5 Sc 2.35-2.52
Sc 0.5499 0.7623 0.0498  1 B 2.35
Sc 0.7443 0.4926 0.2443  2 B 2.48-2.52
Sc 0.9501 0.2623 0.4502  1 B 2.35
Sc 0.3537 0.2500 0.3537  2 B 2.44
B 0.8889 0.7286 0.3889  5 Sc 2.35-2.52
Sc 0.1463 0.7500 0.1463  2 B 2.44
Sc 0.0499 0.7377 0.5498  1 B 2.35
Sc 0.6463 0.7500 0.6463  2 B 2.44
Bi 0.5840 0.2500 0.5840  8 Sc 2.96-3.10
Bi 0.0840 0.2500 0.0840  8 Sc 2.96-3.10
Sc 0.7557 0.9926 0.2557  2 B 2.48-2.52
B 0.3889 0.7714 0.8889  5 Sc 2.35-2.52
B 0.1111 0.2714 0.6111  5 Sc 2.35-2.52
Sc 0.4501 0.2377 0.9502  1 B 2.35
Bi 0.9160 0.7500 0.9160  8 Sc 2.96-3.10
Sc 0.8537 0.2500 0.8537  2 B 2.44
Bi 0.4160 0.7500 0.4160  8 Sc 2.96-3.10
Sc 0.2443 0.0074 0.7443  2 B 2.48-2.52
Sc 0.2557 0.5074 0.7557  2 B 2.48-2.52

***

Most stable pick: arrangement ii. Distance to second place: 1.2 kJ/mol of atoms.

***

Arrangement i

## Cd2ReAu (PBE)

Data for crystalline Cd2ReAu at its relaxed geometry.

Total magnetic moment = 0.0 μB/cell
Symmetry = Cmmm, No. 65
Density = 13984 kg/m3

abc: 2.8212 2.8212 9.5398
angles: 90.00 90.00 108.05
Last column: nearest neighbours and their distance in Å.
Fractional positions:
Cd 0.0000 0.0000 0.0034  4 Cd 2.82, 2 Re 2.88, 2 Au 2.93
Au 0.5000 0.5000 0.7500  4 Au 2.82, 4 Cd 2.93
Cd 0.0000 0.0000 0.4966  4 Cd 2.82, 2 Re 2.88, 2 Au 2.93
Re 0.5000 0.5000 0.2500  4 Re 2.82, 4 Cd 2.88

***

Arrangement ii

## Cd2ReAu (PBE)

Data for crystalline Cd2ReAu at its relaxed geometry.

Total magnetic moment = 0.5 μB/cell
Symmetry = P4/mmm, No. 123
Density = 13941 kg/m3

abc: 2.8407 2.8407 8.9742
angles: 90.00 90.00 90.00
Last column: nearest neighbours and their distance in Å.
Fractional positions:
Re 0.5000 0.5000 0.2500  4 Re 2.84, 8 Cd 2.98
Au 0.5000 0.5000 0.7500  4 Au 2.84, 8 Cd 3.05
Cd 0.0000 0.0000 0.0051  4 Cd 2.84, 4 Re 2.98, 4 Au 3.05
Cd 0.0000 0.0000 0.4949  4 Cd 2.84, 4 Re 2.98, 4 Au 3.05

***

Most stable pick: arrangement i. Distance to second place: 2.4 kJ/mol of atoms.